No. 1
DFT (PBE-GGA) results for PrBeP after structural relaxation.

Structure (CIF):
```
data_PrBeP
_chemical_formula_sum 'Pr4 Be4 P4'
_cell_length_a 18.061
_cell_length_b 3.774
_cell_length_c 3.882
_cell_angle_alpha 90.00
_cell_angle_beta 101.39
_cell_angle_gamma 90.00
_symmetry_space_group_name_H-M 'C 1 m 1'
_symmetry_Int_Tables_number 8
loop_
_symmetry_equiv_pos_as_xyz
'x,y,z'
'x,-y,z'
'x+1/2,y+1/2,z'
'x+1/2,-y+1/2,z'
loop_
_atom_site_label
_atom_site_fract_x
_atom_site_fract_y
_atom_site_fract_z
Pr1 0.000 0.000 0.000
Pr2 0.192 0.000 0.677
Be1 0.314 0.000 0.267
Be2 0.326 0.500 0.575
P1 0.068 0.500 0.566
P2 0.368 0.000 0.818
```

The calculation puts the distance to the lowest polymorph of the same formula at 496 meV per atom. The energy of formation from the pure elements comes out at -475 meV/atom. Its total magnetization is 0.0 μB per formula unit. As for the volume: 259.4 Å³/cell. For the density of states at the Fermi level, the calculation gives 7.85 states/eV/cell.

No. 2
DFT (PBE-GGA) results for Ba2ScPtSe after structural relaxation.

Structure (CIF):
```
data_Ba2ScPtSe
_chemical_formula_sum 'Ba2 Sc1 Pt1 Se1'
_cell_length_a 6.288
_cell_length_b 6.288
_cell_length_c 4.879
_cell_angle_alpha 90.00
_cell_angle_beta 90.00
_cell_angle_gamma 90.00
_symmetry_space_group_name_H-M 'P 4/m m m'
_symmetry_Int_Tables_number 123
_symmetry_space_group_name_Hall '-P 4 2'
loop_
_atom_site_label
_atom_site_fract_x
_atom_site_fract_y
_atom_site_fract_z
Ba1 0.000 0.500 0.000
Sc1 0.000 0.000 0.500
Pt1 0.500 0.500 0.000
Se1 0.500 0.500 0.500
```

As for the total energy: -0.14976 hartree per atom. Its total magnetization is 2.0 μB per formula unit. As for the volume: 192.9 Å³/cell. For the density of states at the Fermi level, the calculation gives 4.82 states/eV/cell.

No. 3
DFT (PBE-GGA) results for Sr2CdCu after structural relaxation.

Structure (CIF):
```
data_Sr2CdCu
_chemical_formula_sum 'Sr8 Cd4 Cu4'
_cell_length_a 8.591
_cell_length_b 8.591
_cell_length_c 7.658
_cell_angle_alpha 90.00
_cell_angle_beta 90.00
_cell_angle_gamma 90.00
_symmetry_space_group_name_H-M 'I -4 2 d'
_symmetry_Int_Tables_number 122
_symmetry_space_group_name_Hall 'I -4 2bw'
loop_
_atom_site_label
_atom_site_fract_x
_atom_site_fract_y
_atom_site_fract_z
Sr1 0.215 0.250 0.125
Cd1 0.000 0.000 0.500
Cu1 0.000 0.000 0.000
```

The energy of formation from the pure elements comes out at 101 meV/atom. Its total magnetization is 0.0 μB per formula unit. As for the volume: 565.2 Å³/cell. For the density of states at the Fermi level, the calculation gives 11.36 states/eV/cell.

No. 4
DFT (PBE-GGA) results for Ba2P2Pb after structural relaxation.

Structure (CIF):
```
data_Ba2P2Pb
_chemical_formula_sum 'Ba4 P4 Pb2'
_cell_length_a 3.829
_cell_length_b 3.829
_cell_length_c 20.905
_cell_angle_alpha 90.00
_cell_angle_beta 90.00
_cell_angle_gamma 90.00
_symmetry_space_group_name_H-M 'I 4/m m m'
_symmetry_Int_Tables_number 139
_symmetry_space_group_name_Hall '-I 4 2'
loop_
_atom_site_label
_atom_site_fract_x
_atom_site_fract_y
_atom_site_fract_z
Ba1 0.000 0.000 0.125
P1 0.000 0.500 0.250
Pb1 0.000 0.000 0.500
```

The calculation puts the distance to the lowest polymorph of the same formula at 0 meV per atom. The energy of formation from the pure elements comes out at -424 meV/atom. Its total magnetization is 0.0 μB per formula unit. As for the volume: 306.6 Å³/cell. For the density of states at the Fermi level, the calculation gives 3.02 states/eV/cell.

No. 5
DFT (PBE-GGA) results for CsKRb2Pb after structural relaxation.

Structure (CIF):
```
data_CsKRb2Pb
_chemical_formula_sum 'Cs1 K1 Rb2 Pb1'
_cell_length_a 7.349
_cell_length_b 7.349
_cell_length_c 7.128
_cell_angle_alpha 90.00
_cell_angle_beta 90.00
_cell_angle_gamma 90.00
_symmetry_space_group_name_H-M 'P 4/m m m'
_symmetry_Int_Tables_number 123
_symmetry_space_group_name_Hall '-P 4 2'
loop_
_atom_site_label
_atom_site_fract_x
_atom_site_fract_y
_atom_site_fract_z
Cs1 0.000 0.000 0.000
K1 0.500 0.500 0.000
Rb1 0.000 0.500 0.500
Pb1 0.500 0.500 0.500
```

The calculation puts the distance to the lowest polymorph of the same formula at 0 meV per atom. The energy of formation from the pure elements comes out at 16 meV/atom. Its total magnetization is 0.3 μB per formula unit. As for the volume: 384.9 Å³/cell. For the density of states at the Fermi level, the calculation gives 4.58 states/eV/cell.

No. 6
DFT (PBE-GGA) results for Rb2LaCeTe4 after structural relaxation.

Structure (CIF):
```
data_Rb2LaCeTe4
_chemical_formula_sum 'Rb2 La1 Ce1 Te4'
_cell_length_a 8.186
_cell_length_b 4.727
_cell_length_c 8.953
_cell_angle_alpha 90.00
_cell_angle_beta 107.72
_cell_angle_gamma 90.00
_symmetry_space_group_name_H-M 'P 1 2/m 1'
_symmetry_Int_Tables_number 10
loop_
_symmetry_equiv_pos_as_xyz
'x,y,z'
'-x,-y,-z'
'-x,y,-z'
'x,-y,z'
loop_
_atom_site_label
_atom_site_fract_x
_atom_site_fract_y
_atom_site_fract_z
Rb1 0.000 0.000 0.000
Rb2 0.500 0.500 0.000
La1 0.000 0.500 0.500
Ce1 0.500 0.000 0.500
Te1 0.237 0.000 0.706
Te2 0.268 0.500 0.296
```

As for the total energy: -0.16849 hartree per atom. Its total magnetization is 1.0 μB per formula unit. As for the volume: 330.0 Å³/cell. For the density of states at the Fermi level, the calculation gives 5.95 states/eV/cell.

No. 7
DFT (PBE-GGA) results for Na2SrSnSe4 after structural relaxation.

Structure (CIF):
```
data_Na2SrSnSe4
_chemical_formula_sum 'Na8 Sr4 Sn4 Se16'
_cell_length_a 8.296
_cell_length_b 8.719
_cell_length_c 12.095
_cell_angle_alpha 90.00
_cell_angle_beta 90.00
_cell_angle_gamma 90.00
_symmetry_space_group_name_H-M 'I m m a'
_symmetry_Int_Tables_number 74
_symmetry_space_group_name_Hall '-I 2b 2'
loop_
_atom_site_label
_atom_site_fract_x
_atom_site_fract_y
_atom_site_fract_z
Na1 0.000 0.000 0.000
Na2 0.250 0.250 0.250
Sr1 0.000 0.000 0.500
Sn1 0.250 0.250 0.750
Se1 0.000 0.023 0.754
Se2 0.242 0.250 0.974
```

As for the total energy: -0.14045 hartree per atom. Its total magnetization is 0.0 μB per formula unit. As for the volume: 874.8 Å³/cell. For the density of states at the Fermi level, the calculation gives 2.98 states/eV/cell.

No. 8
DFT (PBE-GGA) results for SrY2Sc after structural relaxation.

Structure (CIF):
```
data_SrY2Sc
_chemical_formula_sum 'Sr1 Y2 Sc1'
_cell_length_a 5.741
_cell_length_b 5.741
_cell_length_c 4.081
_cell_angle_alpha 90.00
_cell_angle_beta 90.00
_cell_angle_gamma 90.00
_symmetry_space_group_name_H-M 'P 4/m m m'
_symmetry_Int_Tables_number 123
_symmetry_space_group_name_Hall '-P 4 2'
loop_
_atom_site_label
_atom_site_fract_x
_atom_site_fract_y
_atom_site_fract_z
Sr1 0.000 0.000 0.000
Y1 0.000 0.500 0.500
Sc1 0.500 0.500 0.000
```

The calculation puts the distance to the lowest polymorph of the same formula at 192 meV per atom. The energy of formation from the pure elements comes out at 301 meV/atom. Its total magnetization is 0.5 μB per formula unit. As for the volume: 134.5 Å³/cell. For the density of states at the Fermi level, the calculation gives 8.92 states/eV/cell.

No. 9
DFT (PBE-GGA) results for YScCo after structural relaxation.

Structure (CIF):
```
data_YScCo
_chemical_formula_sum 'Y4 Sc4 Co4'
_cell_length_a 12.610
_cell_length_b 3.263
_cell_length_c 6.534
_cell_angle_alpha 90.00
_cell_angle_beta 106.13
_cell_angle_gamma 90.00
_symmetry_space_group_name_H-M 'C 1 2/m 1'
_symmetry_Int_Tables_number 12
loop_
_symmetry_equiv_pos_as_xyz
'x,y,z'
'-x,-y,-z'
'-x,y,-z'
'x,-y,z'
'x+1/2,y+1/2,z'
'-x+1/2,-y+1/2,-z'
'-x+1/2,y+1/2,-z'
'x+1/2,-y+1/2,z'
loop_
_atom_site_label
_atom_site_fract_x
_atom_site_fract_y
_atom_site_fract_z
Y1 0.134 0.000 0.073
Sc1 0.125 0.000 0.563
Co1 0.003 0.500 0.731
```

The calculation puts the distance to the lowest polymorph of the same formula at 19 meV per atom. The energy of formation from the pure elements comes out at -151 meV/atom. Its total magnetization is 0.7 μB per formula unit. As for the volume: 258.3 Å³/cell. For the density of states at the Fermi level, the calculation gives 9.83 states/eV/cell.

No. 10
DFT (PBE-GGA) results for Pm5Nd2Er4 after structural relaxation.

Structure (CIF):
```
data_Pm5Nd2Er4
_chemical_formula_sum 'Pm10 Nd4 Er8'
_cell_length_a 17.752
_cell_length_b 3.550
_cell_length_c 11.685
_cell_angle_alpha 90.00
_cell_angle_beta 94.02
_cell_angle_gamma 90.00
_symmetry_space_group_name_H-M 'C 1 2/m 1'
_symmetry_Int_Tables_number 12
loop_
_symmetry_equiv_pos_as_xyz
'x,y,z'
'-x,-y,-z'
'-x,y,-z'
'x,-y,z'
'x+1/2,y+1/2,z'
'-x+1/2,-y+1/2,-z'
'-x+1/2,y+1/2,-z'
'x+1/2,-y+1/2,z'
loop_
_atom_site_label
_atom_site_fract_x
_atom_site_fract_y
_atom_site_fract_z
Pm1 0.000 0.000 0.000
Pm2 0.095 0.500 0.535
Pm3 0.176 0.500 0.068
Nd1 0.216 0.000 0.351
Er1 0.032 0.500 0.257
Er2 0.140 0.000 0.797
```

The calculation puts the distance to the lowest polymorph of the same formula at 0 meV per atom. The energy of formation from the pure elements comes out at 70 meV/atom. Its total magnetization is 0.0 μB per formula unit. As for the volume: 734.5 Å³/cell. For the density of states at the Fermi level, the calculation gives 30.29 states/eV/cell.

No. 11
DFT (PBE-GGA) results for K2SbBr after structural relaxation.

Structure (CIF):
```
data_K2SbBr
_chemical_formula_sum 'K2 Sb1 Br1'
_cell_length_a 3.731
_cell_length_b 3.731
_cell_length_c 9.473
_cell_angle_alpha 90.00
_cell_angle_beta 90.00
_cell_angle_gamma 90.00
_symmetry_space_group_name_H-M 'P 4/m m m'
_symmetry_Int_Tables_number 123
_symmetry_space_group_name_Hall '-P 4 2'
loop_
_atom_site_label
_atom_site_fract_x
_atom_site_fract_y
_atom_site_fract_z
K1 0.000 0.000 0.217
Sb1 0.500 0.500 0.500
Br1 0.500 0.500 0.000
```

The calculation puts the distance to the lowest polymorph of the same formula at 0 meV per atom. Its total magnetization is 0.0 μB per formula unit. As for the volume: 131.9 Å³/cell. For the density of states at the Fermi level, the calculation gives 1.49 states/eV/cell.

No. 12
DFT (PBE-GGA) results for PuThOsRu after structural relaxation.

Structure (CIF):
```
data_PuThOsRu
_chemical_formula_sum 'Pu4 Th4 Os4 Ru4'
_cell_length_a 6.954
_cell_length_b 6.954
_cell_length_c 6.954
_cell_angle_alpha 90.00
_cell_angle_beta 90.00
_cell_angle_gamma 90.00
_symmetry_space_group_name_H-M 'F -4 3 m'
_symmetry_Int_Tables_number 216
_symmetry_space_group_name_Hall 'F -4 2 3'
loop_
_atom_site_label
_atom_site_fract_x
_atom_site_fract_y
_atom_site_fract_z
Pu1 0.000 0.000 0.000
Th1 0.000 0.000 0.500
Os1 0.250 0.250 0.250
Ru1 0.250 0.250 0.750
```

The energy of formation from the pure elements comes out at -126 meV/atom. Its total magnetization is 4.4 μB per formula unit. As for the volume: 336.2 Å³/cell. For the density of states at the Fermi level, the calculation gives 28.98 states/eV/cell.